The following is a DFT calculation (PBE-GGA) of a geometry-optimized TbTh3Sb4 structure.

Lattice parameters (Å, degrees): 8.9724 12.6737 4.4792 90.00 90.00 90.00
Fractional positions:
Tb: 0.0000 0.0000 0.0000
Tb: 0.5000 0.5000 0.0000
Th: 0.0000 0.5000 0.0000
Th: 0.2500 0.2500 0.5000
Th: 0.2500 0.7500 0.5000
Th: 0.5000 0.0000 0.0000
Th: 0.7500 0.2500 0.5000
Th: 0.7500 0.7500 0.5000
Sb: 0.0000 0.2471 0.0000
Sb: 0.0000 0.7529 0.0000
Sb: 0.2448 0.0000 0.5000
Sb: 0.2552 0.5000 0.5000
Sb: 0.5000 0.2529 0.0000
Sb: 0.5000 0.7471 0.0000
Sb: 0.7448 0.5000 0.5000
Sb: 0.7552 0.0000 0.5000

Calculated values
Its uncorrected formation energy is -0.97 eV/atom. The volume comes out at 31.83 Å³/atom. The relative energy among the computed polymorphs comes out at 3 meV/atom. The crystal system is orthorhombic. The total magnetic moment is 0.0000 μB per atom.

---

The following is a DFT calculation (PBE-GGA) of a geometry-optimized SrIn2Cu structure.

Lattice parameters (Å, degrees): 7.9228 4.5583 6.5895 90.00 113.47 90.00
Fractional positions:
Sr: 0.0000 0.0000 0.0000
Sr: 0.5000 0.5000 0.0000
In: 0.2112 0.0000 0.6345
In: 0.2888 0.5000 0.3655
In: 0.7112 0.5000 0.6345
In: 0.7888 0.0000 0.3655
Cu: 0.0000 0.5000 0.5000
Cu: 0.5000 0.0000 0.5000

Calculated values
For the formation energy, the calculation gives -0.22 eV/atom. The volume comes out at 27.29 Å³/atom. The crystal system is monoclinic. The total magnetic moment is 0.0000 μB per atom.

---

The following is a DFT calculation (PBE-GGA) of a geometry-optimized La6Pr8Sc structure.

Lattice parameters (Å, degrees): 8.9246 8.9246 8.9246 63.32 63.32 63.32
Fractional positions:
La: 0.0422 0.5935 0.7384
La: 0.2616 0.9578 0.4065
La: 0.4065 0.2616 0.9578
La: 0.5935 0.7384 0.0422
La: 0.7384 0.0422 0.5935
La: 0.9578 0.4065 0.2616
Pr: 0.0781 0.0781 0.0781
Pr: 0.2044 0.6125 0.2670
Pr: 0.2670 0.2044 0.6125
Pr: 0.3875 0.7330 0.7956
Pr: 0.6125 0.2670 0.2044
Pr: 0.7330 0.7956 0.3875
Pr: 0.7956 0.3875 0.7330
Pr: 0.9219 0.9219 0.9219
Sc: 0.5000 0.5000 0.5000

Calculated values
For the formation energy, the calculation gives 0.10 eV/atom. The volume comes out at 35.97 Å³/atom. The relative energy among the computed polymorphs comes out at 0 meV/atom. The crystal system is trigonal. The total magnetic moment is 0.0000 μB per atom.

---

The following is a DFT calculation (PBE-GGA) of a geometry-optimized Pu3Se2S structure.

Lattice parameters (Å, degrees): 4.0879 5.7967 12.2890 90.00 90.00 90.00
Fractional positions:
Pu: 0.0000 0.0000 0.0000
Pu: 0.0000 0.0000 0.3424
Pu: 0.0000 0.0000 0.6576
Pu: 0.5000 0.5000 0.1576
Pu: 0.5000 0.5000 0.5000
Pu: 0.5000 0.5000 0.8424
Se: 0.0000 0.5000 0.3299
Se: 0.0000 0.5000 0.6701
Se: 0.5000 0.0000 0.1701
Se: 0.5000 0.0000 0.8299
S: 0.0000 0.5000 0.0000
S: 0.5000 0.0000 0.5000

Calculated values
Its uncorrected formation energy is -1.59 eV/atom. The volume comes out at 24.27 Å³/atom. The crystal system is orthorhombic. The total magnetic moment is 2.8680 μB per atom.

---

The following is a DFT calculation (PBE-GGA) of a geometry-optimized Ba4ZnGa3 structure.

Lattice parameters (Å, degrees): 4.6539 5.3292 11.4128 90.00 90.00 90.00
Fractional positions:
Ba: 0.0000 0.0000 0.0000
Ba: 0.0000 0.5000 0.4983
Ba: 0.5000 0.0000 0.2925
Ba: 0.5000 0.5000 0.7931
Zn: 0.5000 0.5000 0.1029
Ga: 0.0000 0.0000 0.6987
Ga: 0.0000 0.5000 0.1921
Ga: 0.5000 0.0000 0.5934

Calculated values
For the formation energy, the calculation gives -0.31 eV/atom. The volume comes out at 35.38 Å³/atom. The crystal system is orthorhombic. The total magnetic moment is 0.0000 μB per atom.

---

The following is a DFT calculation (PBE-GGA) of a geometry-optimized FeHgP2Cl structure.

Lattice parameters (Å, degrees): 4.9340 4.9340 5.3358 90.00 90.00 90.00
Fractional positions:
Fe: 0.0000 0.0000 0.0000
Hg: 0.5000 0.5000 0.5000
P: 0.0000 0.5000 0.5000
P: 0.5000 0.0000 0.5000
Cl: 0.5000 0.5000 0.0000

Calculated values
Its uncorrected formation energy is 1.72 eV/atom. The volume comes out at 25.98 Å³/atom. The relative energy among the computed polymorphs comes out at 1413 meV/atom. The crystal system is tetragonal. The total magnetic moment is 0.1902 μB per atom.

---

The following is a DFT calculation (PBE-GGA) of a geometry-optimized MgSc3Rh structure.

Lattice parameters (Å, degrees): 5.0476 5.0476 5.0476 90.00 90.00 90.00
Fractional positions:
Mg: 0.0000 0.0000 0.0000
Sc: 0.0000 0.5000 0.5000
Sc: 0.5000 0.0000 0.5000
Sc: 0.5000 0.5000 0.0000
Rh: 0.5000 0.5000 0.5000

Calculated values
For the formation energy, the calculation gives -0.18 eV/atom. The volume comes out at 25.72 Å³/atom. The relative energy among the computed polymorphs comes out at 231 meV/atom. The crystal system is cubic. The total magnetic moment is 0.0000 μB per atom.

---

The following is a DFT calculation (PBE-GGA) of a geometry-optimized Nd6Te5Pb structure.

Lattice parameters (Å, degrees): 7.8065 7.8065 7.8520 99.52 99.52 119.93
Fractional positions:
Nd: 0.0821 0.4120 0.7473
Nd: 0.2472 0.2472 0.2526
Nd: 0.4120 0.0821 0.7473
Nd: 0.5880 0.9179 0.2527
Nd: 0.7528 0.7528 0.7474
Nd: 0.9179 0.5880 0.2527
Te: 0.1675 0.8325 0.0000
Te: 0.3334 0.6666 0.5000
Te: 0.5000 0.5000 0.0000
Te: 0.6666 0.3334 0.5000
Te: 0.8325 0.1675 0.0000
Pb: 0.0000 0.0000 0.5000

Calculated values
Its uncorrected formation energy is -1.31 eV/atom. The volume comes out at 32.62 Å³/atom. The crystal system is monoclinic. The total magnetic moment is 0.0000 μB per atom.

---

The following is a DFT calculation (PBE-GGA) of a geometry-optimized Rb2CdBr structure.

Lattice parameters (Å, degrees): 4.7644 4.7644 29.6077 90.00 90.00 120.00
Fractional positions:
Rb: 0.0000 0.0000 0.2384
Rb: 0.0000 0.0000 0.7616
Rb: 0.3333 0.6667 0.4282
Rb: 0.3333 0.6667 0.9051
Rb: 0.6667 0.3333 0.0949
Rb: 0.6667 0.3333 0.5718
Cd: 0.0000 0.0000 0.0000
Cd: 0.3333 0.6667 0.6667
Cd: 0.6667 0.3333 0.3333
Br: 0.0000 0.0000 0.5000
Br: 0.3333 0.6667 0.1667
Br: 0.6667 0.3333 0.8333

Calculated values
Its uncorrected formation energy is -0.77 eV/atom. The volume comes out at 48.50 Å³/atom. The relative energy among the computed polymorphs comes out at 24 meV/atom. The crystal system is trigonal. The total magnetic moment is 0.0001 μB per atom.

---

The following is a DFT calculation (PBE-GGA) of a geometry-optimized Re3C structure.

Lattice parameters (Å, degrees): 8.2355 8.2355 2.8000 90.00 90.00 120.00
Fractional positions:
Re: 0.0000 0.5000 0.0000
Re: 0.1667 0.3333 0.3333
Re: 0.1667 0.8333 0.3333
Re: 0.3333 0.1667 0.6667
Re: 0.5000 0.0000 0.0000
Re: 0.5000 0.5000 0.0000
Re: 0.6667 0.8333 0.3333
Re: 0.8333 0.1667 0.6667
Re: 0.8333 0.6667 0.6667
C: 0.0000 0.0000 0.0000
C: 0.3333 0.6667 0.6667
C: 0.6667 0.3333 0.3333

Calculated values
For the formation energy, the calculation gives 1.46 eV/atom. The volume comes out at 13.71 Å³/atom. The relative energy among the computed polymorphs comes out at 1480 meV/atom. The crystal system is trigonal. The total magnetic moment is 0.0000 μB per atom.

---

The following is a DFT calculation (PBE-GGA) of a geometry-optimized LaZrTeRu2 structure.

Lattice parameters (Å, degrees): 4.7863 4.7863 6.0331 90.00 90.00 90.00
Fractional positions:
La: 0.0000 0.0000 0.0000
Zr: 0.0000 0.0000 0.5000
Te: 0.5000 0.5000 0.0000
Ru: 0.0000 0.5000 0.5000
Ru: 0.5000 0.0000 0.5000

Calculated values
Its uncorrected formation energy is 0.76 eV/atom. The volume comes out at 27.64 Å³/atom. The crystal system is tetragonal. The total magnetic moment is 0.2381 μB per atom.

---

The following is a DFT calculation (PBE-GGA) of a geometry-optimized Cs2NaHg6Pt structure.

Lattice parameters (Å, degrees): 7.6159 7.6159 6.6472 90.00 90.00 120.00
Fractional positions:
Cs: 0.3333 0.6667 0.1866
Cs: 0.6667 0.3333 0.8134
Na: 0.0000 0.0000 0.0000
Hg: 0.1912 0.3823 0.6898
Hg: 0.1912 0.8088 0.6898
Hg: 0.3823 0.1912 0.3102
Hg: 0.6177 0.8088 0.6898
Hg: 0.8088 0.1912 0.3102
Hg: 0.8088 0.6177 0.3102
Pt: 0.0000 0.0000 0.5000

Calculated values
For the formation energy, the calculation gives -0.22 eV/atom. The volume comes out at 33.39 Å³/atom. The crystal system is trigonal. The total magnetic moment is 0.0000 μB per atom.